Run P
Compound: TbTmInCo
Source: Alexandria
Functional: PBE-GGA
Structure: relaxed

The structure belongs to space group P4mm (No. 99); the cell edges are 3.354, 3.354 and 7.957 Å and the angles 90.00°, 90.00° and 90.00°. The distinct sites, in fractional coordinates, are Tb at (0.000, 0.000, 0.000), Tm at (0.000, 0.000, 0.588), In at (0.500, 0.500, 0.299) and Co at (0.500, 0.500, 0.786).

=====

Run Q
Compound: TbTmInCo
Source: Alexandria
Functional: PBE-GGA
Structure: relaxed

The structure belongs to space group F-43m (No. 216); the cell edges are 7.158, 7.158 and 7.158 Å and the angles 90.00°, 90.00° and 90.00°. The distinct sites, in fractional coordinates, are Tb at (0.000, 0.000, 0.000), Tm at (0.000, 0.000, 0.500), In at (0.250, 0.250, 0.750) and Co at (0.250, 0.250, 0.250).

=====

Which one is most stable, and which one is least stable? run P is the most stable of them, while run Q is the least stable.

=====

Run P
Compound: InCoTc2
Source: Alexandria
Functional: PBE-GGA
Structure: relaxed

The structure belongs to space group I-42d (No. 122); the cell edges are 7.252, 7.252 and 4.986 Å and the angles 90.00°, 90.00° and 90.00°. The distinct sites, in fractional coordinates, are In at (0.000, 0.000, 0.000), Co at (0.000, 0.000, 0.500) and Tc at (0.190, 0.250, 0.625).

=====

Run Q
Compound: InCoTc2
Source: Alexandria
Functional: PBE-GGA
Structure: relaxed

The structure belongs to space group F-43m (No. 216); the cell edges are 6.232, 6.232 and 6.232 Å and the angles 90.00°, 90.00° and 90.00°. The distinct sites, in fractional coordinates, are In at (0.000, 0.000, 0.000), Co at (0.250, 0.250, 0.250), Tc at (0.000, 0.000, 0.500) and Tc at (0.250, 0.250, 0.750).

=====

Which one is most stable, and which one is least stable? run Q is the most stable of them, while run P is the least stable.